(1)
Material: LiSn4Ru
Method: DFT, PBE
State: optimized geometry

Geometry as extended XYZ:
```
12
Lattice="-3.350 3.350 5.636 3.350 -3.350 5.636 3.350 3.350 -5.636" Properties=species:S:1:pos:R:3 pbc="T T T"
Li 0.000 0.000 0.000
Li 0.000 0.000 5.636
Sn 4.423 1.073 -1.545
Sn 1.073 2.277 -1.545
Sn 4.423 1.073 1.545
Sn 1.073 2.277 1.545
Sn 2.277 1.073 4.091
Sn -1.073 2.277 4.091
Sn 2.277 1.073 7.180
Sn -1.073 2.277 7.180
Ru 0.000 0.000 2.818
Ru 0.000 0.000 8.453
```

## Properties
Space-group type = I4/mcm
DFT formation energy = -259 meV/atom
Total magnetic moment = 0.00 μB/cell

---

(2)
Material: USi2NiIr
Method: DFT, PBE
State: optimized geometry

Geometry as extended XYZ:
```
5
Lattice="-1.965 1.965 5.077 1.965 -1.965 5.077 1.965 1.965 -5.077" Properties=species:S:1:pos:R:3 pbc="T T T"
U 0.000 0.000 0.000
Si 0.000 0.000 3.896
Si 0.000 0.000 6.257
Ni 1.965 0.000 2.538
Ir 0.000 1.965 2.538
```

## Properties
Space-group type = I-4m2
Formation energy without anion corrections = -15.345 kcal/mol of atoms
Total magnetic moment = 2.30 μB/cell

---

Q: Number 1 is which compound?
A: LiSn4Ru